Record 1
## Zn6Cu3Pt (PBE)

Data for Zn6Cu3Pt after structural relaxation.

Properties
Density of states at the Fermi level in states/eV/f.u.: 2.6
VASP energy in eV per atom: -2.762
Size of the total moment in μB per formula unit: 0.00
Density in g cm⁻³: 9.4

Cell lengths 7.142, 4.360, 9.443 Å; angles 90.00, 110.35, 90.00 degrees
Space group P2_1/m (No. 11)
Unique sites:
Zn  0.001  0.250  0.335 [2 per cell]
Zn  0.012  0.750  0.172 [2 per cell]
Zn  0.199  0.250  0.628 [2 per cell]
Zn  0.209  0.750  0.980 [2 per cell]
Zn  0.398  0.250  0.431 [2 per cell]
Zn  0.419  0.750  0.773 [2 per cell]
Cu  0.191  0.250  0.135 [2 per cell]
Cu  0.208  0.750  0.472 [2 per cell]
Cu  0.397  0.750  0.272 [2 per cell]
Pt  0.381  0.250  0.921 [2 per cell]

***

Record 2
## ZnCu2Pt2 (PBE)

Data for ZnCu2Pt2 after structural relaxation.

Properties
Density of states at the Fermi level in states/eV/f.u.: 1.8
VASP energy in eV per atom: -4.535
Size of the total moment in μB per formula unit: 0.00
Density in g cm⁻³: 13.6

Cell lengths 2.754, 4.556, 12.032 Å; angles 93.83, 96.53, 107.37 degrees
Space group P-1 (No. 2)
Unique sites:
Zn  0.143  0.062  0.213 [2 per cell]
Cu  0.286  0.980  0.596 [2 per cell]
Cu  0.342  0.577  0.101 [2 per cell]
Pt  0.000  0.000  0.000 [1 per cell]
Pt  0.077  0.457  0.702 [2 per cell]
Pt  0.500  0.500  0.500 [1 per cell]

***

Record 3
## ZnCu5Pt (PBE)

Data for ZnCu5Pt after structural relaxation.

Properties
Density of states at the Fermi level in states/eV/f.u.: 2.3
VASP energy in eV per atom: -3.991
Size of the total moment in μB per formula unit: 0.00
Density in g cm⁻³: 10.3

Cell lengths 5.910, 7.103, 9.216 Å; angles 90.00, 106.18, 90.00 degrees
Space group C2/c (No. 15)
Unique sites:
Zn  0.000  0.137  0.250 [4 per cell]
Cu  0.000  0.222  0.750 [4 per cell]
Cu  0.106  0.463  0.149 [8 per cell]
Cu  0.182  0.104  0.045 [8 per cell]
Pt  0.250  0.250  0.500 [4 per cell]

***

Record 4
## Zn2Cu5Pt4 (PBE)

Data for Zn2Cu5Pt4 after structural relaxation.

Properties
Density of states at the Fermi level in states/eV/f.u.: 3.0
VASP energy in eV per atom: -4.504
Size of the total moment in μB per formula unit: 0.00
Density in g cm⁻³: 13.3

Cell lengths 6.521, 2.764, 8.531 Å; angles 90.00, 94.13, 90.00 degrees
Space group P2/m (No. 10)
Unique sites:
Zn  0.064  0.000  0.142 [2 per cell]
Cu  0.197  0.000  0.664 [2 per cell]
Cu  0.438  0.000  0.207 [2 per cell]
Cu  0.500  0.000  0.500 [1 per cell]
Pt  0.173  0.500  0.397 [2 per cell]
Pt  0.284  0.500  0.939 [2 per cell]

***

Record 5
## ZnCu2Pt2 (PBE)

Data for ZnCu2Pt2 after structural relaxation.

Properties
Density of states at the Fermi level in states/eV/f.u.: 2.3
VASP energy in eV per atom: -4.388
Size of the total moment in μB per formula unit: 0.00
Density in g cm⁻³: 13.2

Cell lengths 7.122, 7.122, 2.893 Å; angles 90.00, 90.00, 90.00 degrees
Space group P4/mbm (No. 127)
Unique sites:
Zn  0.000  0.000  0.000 [2 per cell]
Cu  0.125  0.375  0.000 [4 per cell]
Pt  0.173  0.673  0.500 [4 per cell]

***

Record 6
## Zn2Cu2Pt (PBE)

Data for Zn2Cu2Pt after structural relaxation.

Properties
Density of states at the Fermi level in states/eV/f.u.: 1.6
VASP energy in eV per atom: -3.504
Size of the total moment in μB per formula unit: 0.00
Density in g cm⁻³: 10.1

Cell lengths 7.241, 4.811, 4.737 Å; angles 90.00, 115.21, 90.00 degrees
Space group C2/m (No. 12)
Unique sites:
Zn  0.111  0.000  0.353 [4 per cell]
Cu  0.250  0.250  0.000 [4 per cell]
Pt  0.000  0.500  0.500 [2 per cell]

***

Record 7
## Zn2CuPt6 (PBE)

Data for Zn2CuPt6 after structural relaxation.

Properties
Density of states at the Fermi level in states/eV/f.u.: 6.0
VASP energy in eV per atom: -5.067
Size of the total moment in μB per formula unit: 0.00
Density in g cm⁻³: 16.9

Cell lengths 8.215, 8.215, 3.978 Å; angles 90.00, 90.00, 90.00 degrees
Space group P4_2/mnm (No. 136)
Unique sites:
Zn  0.173  0.173  0.000 [4 per cell]
Cu  0.000  0.000  0.500 [2 per cell]
Pt  0.002  0.328  0.500 [8 per cell]
Pt  0.154  0.846  0.000 [4 per cell]

***

Record 8
## ZnCu3Pt12 (PBE)

Data for ZnCu3Pt12 after structural relaxation.

Properties
Density of states at the Fermi level in states/eV/f.u.: 15.4
VASP energy in eV per atom: -5.551
Size of the total moment in μB per formula unit: 0.00
Density in g cm⁻³: 18.0

Cell lengths 3.900, 3.900, 15.720 Å; angles 90.00, 90.00, 90.00 degrees
Space group P4/mmm (No. 123)
Unique sites:
Zn  0.000  0.000  0.000 [1 per cell]
Cu  0.000  0.000  0.251 [2 per cell]
Cu  0.000  0.000  0.500 [1 per cell]
Pt  0.000  0.500  0.126 [4 per cell]
Pt  0.000  0.500  0.376 [4 per cell]
Pt  0.500  0.500  0.000 [1 per cell]
Pt  0.500  0.500  0.251 [2 per cell]
Pt  0.500  0.500  0.500 [1 per cell]

***

Record 9
## ZnCu6Pt3 (PBE)

Data for ZnCu6Pt3 after structural relaxation.

Properties
Density of states at the Fermi level in states/eV/f.u.: 7.3
VASP energy in eV per atom: -4.016
Size of the total moment in μB per formula unit: 0.00
Density in g cm⁻³: 9.5

Cell lengths 15.7374, 15.7374, 2.5274 Å; angles 90.00, 90.00, 120.00 degrees
Space group R3m (No. 160, hexagonal axes)
Unique sites:
Zn  0.0000  0.0000  0.0000 [3 per cell]
Cu  0.0901  0.1803  0.1481 [9 per cell]
Cu  0.1629  0.0814  0.5393 [9 per cell]
Pt  0.1711  0.3421  0.6778 [9 per cell]

***

Record 10
## Zn5Cu2Pt (PBE)

Data for Zn5Cu2Pt after structural relaxation.

Properties
Density of states at the Fermi level in states/eV/f.u.: 1.6
VASP energy in eV per atom: -2.804
Size of the total moment in μB per formula unit: 0.00
Density in g cm⁻³: 9.8

Cell lengths 5.527, 5.555, 14.397 Å; angles 90.00, 90.00, 90.00 degrees
Space group Fmmm (No. 69)
Unique sites:
Zn  0.000  0.000  0.000 [4 per cell]
Zn  0.250  0.250  0.131 [16 per cell]
Cu  0.000  0.000  0.250 [8 per cell]
Pt  0.000  0.000  0.500 [4 per cell]

***

Record 11
## Zn4CuPt2 (PBE)

Data for Zn4CuPt2 after structural relaxation.

Properties
Density of states at the Fermi level in states/eV/f.u.: 1.7
VASP energy in eV per atom: -3.294
Size of the total moment in μB per formula unit: 0.00
Density in g cm⁻³: 11.5

Cell lengths 6.482, 4.955, 7.100 Å; angles 90.00, 115.39, 90.00 degrees
Space group P2_1/m (No. 11)
Unique sites:
Zn  0.020  0.250  0.431 [2 per cell]
Zn  0.061  0.250  0.823 [2 per cell]
Zn  0.402  0.002  0.768 [4 per cell]
Cu  0.243  0.250  0.221 [2 per cell]
Pt  0.210  0.750  0.985 [2 per cell]
Pt  0.366  0.750  0.429 [2 per cell]

***

Record 12
## Zr2CuPt6 (PBE)

Data for Zr2CuPt6 after structural relaxation.

Properties
Density of states at the Fermi level in states/eV/f.u.: 5.3
VASP energy in eV per atom: -7.082
Size of the total moment in μB per formula unit: 0.00
Density in g cm⁻³: 15.1

Cell lengths 9.190, 5.604, 6.234 Å; angles 90.00, 104.18, 90.00 degrees
Space group C2/m (No. 12)
Unique sites:
Zr  0.170  0.000  0.323 [4 per cell]
Cu  0.000  0.500  0.500 [2 per cell]
Pt  0.098  0.246  0.851 [8 per cell]
Pt  0.175  0.500  0.248 [4 per cell]

***

Record 13
## ZrCu5Pt6 (PBE)

Data for ZrCu5Pt6 after structural relaxation.

Properties
Density of states at the Fermi level in states/eV/f.u.: 5.4
VASP energy in eV per atom: -5.852
Size of the total moment in μB per formula unit: 0.00
Density in g cm⁻³: 14.9

Cell lengths 3.976, 11.874, 7.447 Å; angles 90.00, 90.00, 90.00 degrees
Space group Cmmm (No. 65)
Unique sites:
Zr  0.000  0.000  0.000 [2 per cell]
Cu  0.000  0.000  0.500 [2 per cell]
Cu  0.000  0.326  0.000 [4 per cell]
Cu  0.000  0.338  0.500 [4 per cell]
Pt  0.000  0.169  0.258 [8 per cell]
Pt  0.000  0.500  0.254 [4 per cell]

***

Record 14
## Zr2CuPt2 (PBE)

Data for Zr2CuPt2 after structural relaxation.

Properties
Density of states at the Fermi level in states/eV/f.u.: 5.2
VASP energy in eV per atom: -7.382
Size of the total moment in μB per formula unit: 0.00
Density in g cm⁻³: 11.2

Cell lengths 7.391, 7.391, 3.449 Å; angles 90.00, 90.00, 90.00 degrees
Space group P4/mbm (No. 127)
Unique sites:
Zr  0.170  0.330  0.000 [4 per cell]
Cu  0.000  0.000  0.500 [2 per cell]
Pt  0.134  0.634  0.500 [4 per cell]

***

Record 15
## ZrCuPt (PBE)

Data for ZrCuPt after structural relaxation.

Properties
Density of states at the Fermi level in states/eV/f.u.: 3.2
VASP energy in eV per atom: -6.826
Size of the total moment in μB per formula unit: 0.00
Density in g cm⁻³: 11.6

Cell lengths 4.4653, 4.4653, 2.8911 Å; angles 90.00, 90.00, 120.00 degrees
Space group P-6m2 (No. 187)
Unique sites:
Zr  0.0000  0.0000  0.0000 [1 per cell]
Cu  0.6667  0.3333  0.5000 [1 per cell]
Pt  0.3333  0.6667  0.5000 [1 per cell]

***

Record 16
## Zr2Cu2Pt (PBE)

Data for Zr2Cu2Pt after structural relaxation.

Properties
Density of states at the Fermi level in states/eV/f.u.: 3.9
VASP energy in eV per atom: -6.483
Size of the total moment in μB per formula unit: 0.00
Density in g cm⁻³: 9.2

Cell lengths 4.449, 6.193, 6.597 Å; angles 90.00, 90.00, 90.00 degrees
Space group Cmmm (No. 65)
Unique sites:
Zr  0.000  0.000  0.239 [4 per cell]
Cu  0.000  0.318  0.500 [4 per cell]
Pt  0.000  0.500  0.000 [2 per cell]

***

Record 17
## Zr2CuPt9 (PBE)

Data for Zr2CuPt9 after structural relaxation.

Properties
Density of states at the Fermi level in states/eV/f.u.: 10.2
VASP energy in eV per atom: -7.038
Size of the total moment in μB per formula unit: 0.00
Density in g cm⁻³: 17.2

Cell lengths 4.018, 4.018, 11.963 Å; angles 90.00, 90.00, 90.00 degrees
Space group P4/mmm (No. 123)
Unique sites:
Zr  0.000  0.000  0.175 [2 per cell]
Cu  0.000  0.000  0.500 [1 per cell]
Pt  0.000  0.500  0.000 [2 per cell]
Pt  0.000  0.500  0.339 [4 per cell]
Pt  0.500  0.500  0.169 [2 per cell]
Pt  0.500  0.500  0.500 [1 per cell]

***

Record 18
## ZrCu3Pt (PBE)

Data for ZrCu3Pt after structural relaxation.

Properties
Density of states at the Fermi level in states/eV/f.u.: 4.6
VASP energy in eV per atom: -4.703
Size of the total moment in μB per formula unit: 0.97
Density in g cm⁻³: 8.1

Cell lengths 4.615, 4.615, 4.615 Å; angles 90.00, 90.00, 90.00 degrees
Space group Pm-3m (No. 221)
Unique sites:
Zr  0.000  0.000  0.000 [1 per cell]
Cu  0.000  0.500  0.500 [3 per cell]
Pt  0.500  0.500  0.500 [1 per cell]

***

Record 19
## Zr2Cu2Pt (PBE)

Data for Zr2Cu2Pt after structural relaxation.

Properties
Density of states at the Fermi level in states/eV/f.u.: 5.0
VASP energy in eV per atom: -6.705
Size of the total moment in μB per formula unit: 0.00
Density in g cm⁻³: 9.9

Cell lengths 6.888, 6.888, 3.563 Å; angles 90.00, 90.00, 90.00 degrees
Space group P4/mbm (No. 127)
Unique sites:
Zr  0.177  0.323  0.000 [4 per cell]
Cu  0.124  0.624  0.500 [4 per cell]
Pt  0.000  0.000  0.500 [2 per cell]

***

Record 20
## ZrCuPt (PBE)

Data for ZrCuPt after structural relaxation.

Properties
Density of states at the Fermi level in states/eV/f.u.: 2.7
VASP energy in eV per atom: -6.638
Size of the total moment in μB per formula unit: 0.00
Density in g cm⁻³: 9.8

Cell lengths 6.196, 6.196, 6.196 Å; angles 90.00, 90.00, 90.00 degrees
Space group F-43m (No. 216)
Unique sites:
Zr  0.000  0.000  0.000 [4 per cell]
Cu  0.000  0.000  0.500 [4 per cell]
Pt  0.250  0.250  0.250 [4 per cell]

***

Record 21
## ZrCuPt (PBE)

Data for ZrCuPt after structural relaxation.

Properties
Density of states at the Fermi level in states/eV/f.u.: 2.4
VASP energy in eV per atom: -6.431
Size of the total moment in μB per formula unit: 0.00
Density in g cm⁻³: 11.4

Cell lengths 2.9601, 2.9601, 6.6893 Å; angles 90.00, 90.00, 120.00 degrees
Space group P3m1 (No. 156)
Unique sites:
Zr  0.0000  0.0000  0.0000 [1 per cell]
Cu  0.6667  0.3333  0.3414 [1 per cell]
Pt  0.3333  0.6667  0.6533 [1 per cell]

***

Record 22
## ZrCu4Pt (PBE)

Data for ZrCu4Pt after structural relaxation.

Properties
Density of states at the Fermi level in states/eV/f.u.: 3.7
VASP energy in eV per atom: -5.552
Size of the total moment in μB per formula unit: 0.00
Density in g cm⁻³: 10.8

Cell lengths 6.924, 6.924, 6.924 Å; angles 90.00, 90.00, 90.00 degrees
Space group F-43m (No. 216)
Unique sites:
Zr  0.000  0.000  0.000 [4 per cell]
Cu  0.124  0.124  0.624 [16 per cell]
Pt  0.250  0.250  0.250 [4 per cell]

***

Record 23
## ZrCuPt (PBE)

Data for ZrCuPt after structural relaxation.

Properties
Density of states at the Fermi level in states/eV/f.u.: 1.7
VASP energy in eV per atom: -6.766
Size of the total moment in μB per formula unit: 0.00
Density in g cm⁻³: 11.9

Cell lengths 4.597, 9.040, 4.715 Å; angles 90.00, 90.00, 90.00 degrees
Space group Cmcm (No. 63)
Unique sites:
Zr  0.000  0.104  0.250 [4 per cell]
Cu  0.000  0.246  0.750 [4 per cell]
Pt  0.000  0.410  0.250 [4 per cell]